(1)
ScCS2Cl | PBE | relaxed

Results
Mass density   3.4 g/cm3
ΔE_f (raw)   0.29 eV per atom
Uncorrected energy   -24.19 eV/cell
Space group   P4/mmm

Unit cell a=4.198 b=4.198 c=4.308 alpha=90.00 beta=90.00 gamma=90.00
Atoms (fractional coordinates):
Sc: 0.000 0.000 0.000
C: 0.500 0.500 0.500
S: 0.000 0.500 0.500
S: 0.500 0.000 0.500
Cl: 0.500 0.500 0.000

(2)
Sc6C2SCl3 | PBE | relaxed

Results
Mass density   3.5 g/cm3
ΔE_f (raw)   -1.30 eV per atom
Uncorrected energy   -81.70 eV/cell
Space group   C2/m

Unit cell a=6.133 b=6.133 c=6.674 alpha=98.80 beta=98.80 gamma=120.02
Atoms (fractional coordinates):
Sc: 0.079 0.439 0.817
Sc: 0.201 0.201 0.183
Sc: 0.439 0.079 0.817
Sc: 0.561 0.921 0.183
Sc: 0.799 0.799 0.817
Sc: 0.921 0.561 0.183
C: 0.167 0.833 0.000
C: 0.833 0.167 0.000
S: 0.500 0.500 0.000
Cl: 0.000 0.000 0.500
Cl: 0.333 0.667 0.500
Cl: 0.667 0.333 0.500

(3)
CSeS2Cl | PBE | relaxed

Results
Mass density   2.8 g/cm3
ΔE_f (raw)   1.89 eV per atom
Uncorrected energy   -13.36 eV/cell
Space group   P4/mmm

Unit cell a=4.875 b=4.875 c=4.827 alpha=90.00 beta=90.00 gamma=90.00
Atoms (fractional coordinates):
C: 0.000 0.000 0.000
Se: 0.500 0.500 0.500
S: 0.000 0.500 0.500
S: 0.500 0.000 0.500
Cl: 0.500 0.500 0.000

(4)
CSeS2Cl | PBE | relaxed

Results
Mass density   4.1 g/cm3
ΔE_f (raw)   1.34 eV per atom
Uncorrected energy   -16.10 eV/cell
Space group   P4/mmm

Unit cell a=4.245 b=4.245 c=4.314 alpha=90.00 beta=90.00 gamma=90.00
Atoms (fractional coordinates):
C: 0.000 0.000 0.000
Se: 0.500 0.500 0.500
S: 0.000 0.500 0.000
S: 0.500 0.000 0.000
Cl: 0.000 0.000 0.500

(5)
SiCSCl2 | PBE | relaxed

Results
Mass density   2.9 g/cm3
ΔE_f (raw)   1.13 eV per atom
Uncorrected energy   -16.83 eV/cell
Space group   P4/mmm

Unit cell a=4.443 b=4.443 c=4.200 alpha=90.00 beta=90.00 gamma=90.00
Atoms (fractional coordinates):
Si: 0.000 0.000 0.000
C: 0.500 0.500 0.500
S: 0.500 0.500 0.000
Cl: 0.000 0.500 0.500
Cl: 0.500 0.000 0.500

(6)
SiCSCl2 | PBE | relaxed

Results
Mass density   2.4 g/cm3
ΔE_f (raw)   1.28 eV per atom
Uncorrected energy   -16.08 eV/cell
Space group   P4/mmm

Unit cell a=4.596 b=4.596 c=4.722 alpha=90.00 beta=90.00 gamma=90.00
Atoms (fractional coordinates):
Si: 0.000 0.000 0.000
C: 0.500 0.500 0.500
S: 0.000 0.000 0.500
Cl: 0.000 0.500 0.000
Cl: 0.500 0.000 0.000

(7)
Sm6C3S2Cl | PBE | relaxed

Results
Mass density   6.9 g/cm3
ΔE_f (raw)   -1.15 eV per atom
Uncorrected energy   -79.87 eV/cell
Space group   C2/m

Unit cell a=8.807 b=8.807 c=7.952 alpha=106.42 beta=106.42 gamma=24.96
Atoms (fractional coordinates):
Sm: 0.010 0.010 0.219
Sm: 0.322 0.322 0.437
Sm: 0.340 0.340 0.899
Sm: 0.660 0.660 0.101
Sm: 0.678 0.678 0.563
Sm: 0.990 0.990 0.781
C: 0.167 0.167 0.333
C: 0.500 0.500 0.000
C: 0.833 0.833 0.667
S: 0.164 0.164 0.828
S: 0.836 0.836 0.172
Cl: 0.500 0.500 0.500

(8)
Sm3CSCl | PBE | relaxed

Results
Mass density   6.3 g/cm3
ΔE_f (raw)   -1.08 eV per atom
Uncorrected energy   -71.72 eV/cell
Space group   P2_1/m

Unit cell a=8.015 b=3.650 c=9.918 alpha=90.00 beta=104.21 gamma=90.00
Atoms (fractional coordinates):
Sm: 0.019 0.250 0.350
Sm: 0.232 0.250 0.063
Sm: 0.374 0.750 0.603
Sm: 0.626 0.250 0.397
Sm: 0.768 0.750 0.937
Sm: 0.981 0.750 0.650
C: 0.172 0.250 0.588
C: 0.828 0.750 0.412
S: 0.311 0.750 0.297
S: 0.689 0.250 0.703
Cl: 0.354 0.750 0.890
Cl: 0.646 0.250 0.110

(9)
Sm6CS2Cl3 | PBE | relaxed

Results
Mass density   6.5 g/cm3
ΔE_f (raw)   -1.48 eV per atom
Uncorrected energy   -69.03 eV/cell
Space group   C2/m

Unit cell a=9.098 b=9.098 c=8.215 alpha=105.44 beta=105.44 gamma=24.97
Atoms (fractional coordinates):
Sm: 0.005 0.005 0.207
Sm: 0.326 0.326 0.441
Sm: 0.355 0.355 0.911
Sm: 0.645 0.645 0.089
Sm: 0.674 0.674 0.559
Sm: 0.995 0.995 0.793
C: 0.500 0.500 0.000
S: 0.165 0.165 0.327
S: 0.835 0.835 0.673
Cl: 0.167 0.167 0.835
Cl: 0.500 0.500 0.500
Cl: 0.833 0.833 0.165

(10)
Sm6C2S3Cl | PBE | relaxed

Results
Mass density   6.8 g/cm3
ΔE_f (raw)   -1.40 eV per atom
Uncorrected energy   -77.81 eV/cell
Space group   C2/m

Unit cell a=8.770 b=8.770 c=8.017 alpha=102.39 beta=102.39 gamma=25.43
Atoms (fractional coordinates):
Sm: 0.019 0.019 0.275
Sm: 0.324 0.324 0.875
Sm: 0.325 0.325 0.434
Sm: 0.675 0.675 0.566
Sm: 0.676 0.676 0.125
Sm: 0.981 0.981 0.725
C: 0.168 0.168 0.332
C: 0.832 0.832 0.668
S: 0.159 0.159 0.837
S: 0.500 0.500 0.500
S: 0.841 0.841 0.163
Cl: 0.500 0.500 0.000

(11)
Sm8C3SCl4 | PBE | relaxed

Results
Mass density   6.7 g/cm3
ΔE_f (raw)   -1.23 eV per atom
Uncorrected energy   -96.55 eV/cell
Space group   R-3m

Unit cell a=8.224 b=8.224 c=8.224 alpha=55.39 beta=55.39 gamma=55.39
Atoms (fractional coordinates):
Sm: 0.209 0.743 0.743
Sm: 0.230 0.230 0.230
Sm: 0.257 0.257 0.791
Sm: 0.257 0.791 0.257
Sm: 0.743 0.209 0.743
Sm: 0.743 0.743 0.209
Sm: 0.770 0.770 0.770
Sm: 0.791 0.257 0.257
C: 0.000 0.000 0.500
C: 0.000 0.500 0.000
C: 0.500 0.000 0.000
S: 0.500 0.500 0.500
Cl: 0.000 0.000 0.000
Cl: 0.000 0.500 0.500
Cl: 0.500 0.000 0.500
Cl: 0.500 0.500 0.000

(12)
Sm8C3S4Cl | PBE | relaxed

Results
Mass density   6.9 g/cm3
ΔE_f (raw)   -1.34 eV per atom
Uncorrected energy   -105.23 eV/cell
Space group   R-3m

Unit cell a=7.880 b=7.880 c=7.880 alpha=59.09 beta=59.09 gamma=59.09
Atoms (fractional coordinates):
Sm: 0.218 0.753 0.753
Sm: 0.239 0.239 0.239
Sm: 0.247 0.247 0.782
Sm: 0.247 0.782 0.247
Sm: 0.753 0.218 0.753
Sm: 0.753 0.753 0.218
Sm: 0.761 0.761 0.761
Sm: 0.782 0.247 0.247
C: 0.000 0.000 0.500
C: 0.000 0.500 0.000
C: 0.500 0.000 0.000
S: 0.000 0.000 0.000
S: 0.000 0.500 0.500
S: 0.500 0.000 0.500
S: 0.500 0.500 0.000
Cl: 0.500 0.500 0.500

(13)
Sm4CSCl2 | PBE | relaxed

Results
Mass density   6.6 g/cm3
ΔE_f (raw)   -1.39 eV per atom
Uncorrected energy   -47.03 eV/cell
Space group   P2/m

Unit cell a=6.894 b=3.861 c=7.141 alpha=90.00 beta=108.13 gamma=90.00
Atoms (fractional coordinates):
Sm: 0.209 0.000 0.199
Sm: 0.231 0.500 0.795
Sm: 0.769 0.500 0.205
Sm: 0.791 0.000 0.801
C: 0.000 0.500 0.000
S: 0.500 0.000 0.000
Cl: 0.000 0.000 0.500
Cl: 0.500 0.500 0.500

(14)
SnCS2Cl | PBE | relaxed

Results
Mass density   4.4 g/cm3
ΔE_f (raw)   0.78 eV per atom
Uncorrected energy   -19.44 eV/cell
Space group   P4/mmm

Unit cell a=4.201 b=4.201 c=4.966 alpha=90.00 beta=90.00 gamma=90.00
Atoms (fractional coordinates):
Sn: 0.000 0.000 0.000
C: 0.500 0.500 0.500
S: 0.000 0.500 0.500
S: 0.500 0.000 0.500
Cl: 0.500 0.500 0.000

(15)
SnCS2Cl | PBE | relaxed

Results
Mass density   3.0 g/cm3
ΔE_f (raw)   1.54 eV per atom
Uncorrected energy   -15.64 eV/cell
Space group   P4/mmm

Unit cell a=5.044 b=5.044 c=5.062 alpha=90.00 beta=90.00 gamma=90.00
Atoms (fractional coordinates):
Sn: 0.000 0.000 0.000
C: 0.500 0.500 0.500
S: 0.000 0.500 0.000
S: 0.500 0.000 0.000
Cl: 0.000 0.000 0.500

(16)
SrCS2Cl | PBE | relaxed

Results
Mass density   1.8 g/cm3
ΔE_f (raw)   1.43 eV per atom
Uncorrected energy   -13.85 eV/cell
Space group   P4/mmm

Unit cell a=5.771 b=5.771 c=5.445 alpha=90.00 beta=90.00 gamma=90.00
Atoms (fractional coordinates):
Sr: 0.000 0.000 0.000
C: 0.500 0.500 0.500
S: 0.000 0.500 0.000
S: 0.500 0.000 0.000
Cl: 0.000 0.000 0.500

(17)
SrCS2Cl | PBE | relaxed

Results
Mass density   3.5 g/cm3
ΔE_f (raw)   -0.06 eV per atom
Uncorrected energy   -21.30 eV/cell
Space group   P4/mmm

Unit cell a=4.205 b=4.205 c=5.273 alpha=90.00 beta=90.00 gamma=90.00
Atoms (fractional coordinates):
Sr: 0.000 0.000 0.000
C: 0.500 0.500 0.500
S: 0.000 0.500 0.500
S: 0.500 0.000 0.500
Cl: 0.500 0.500 0.000

(18)
TaCSCl2 | PBE | relaxed

Results
Mass density   6.5 g/cm3
ΔE_f (raw)   1.36 eV per atom
Uncorrected energy   -22.09 eV/cell
Space group   P4/mmm

Unit cell a=4.156 b=4.156 c=4.387 alpha=90.00 beta=90.00 gamma=90.00
Atoms (fractional coordinates):
Ta: 0.000 0.000 0.000
C: 0.500 0.500 0.500
S: 0.500 0.500 0.000
Cl: 0.000 0.500 0.500
Cl: 0.500 0.000 0.500

(19)
TaCSCl2 | PBE | relaxed

Results
Mass density   4.4 g/cm3
ΔE_f (raw)   0.85 eV per atom
Uncorrected energy   -24.66 eV/cell
Space group   P4/mmm

Unit cell a=4.855 b=4.855 c=4.737 alpha=90.00 beta=90.00 gamma=90.00
Atoms (fractional coordinates):
Ta: 0.000 0.000 0.000
C: 0.500 0.500 0.500
S: 0.000 0.000 0.500
Cl: 0.000 0.500 0.000
Cl: 0.500 0.000 0.000

(20)
Tb6C2SCl2 | PBE | relaxed

Results
Mass density   7.5 g/cm3
ΔE_f (raw)   -1.12 eV per atom
Uncorrected energy   -66.37 eV/cell
Space group   C2/m

Unit cell a=6.532 b=6.532 c=6.745 alpha=98.70 beta=98.70 gamma=119.85
Atoms (fractional coordinates):
Tb: 0.076 0.428 0.790
Tb: 0.203 0.203 0.212
Tb: 0.428 0.076 0.790
Tb: 0.572 0.924 0.210
Tb: 0.797 0.797 0.788
Tb: 0.924 0.572 0.210
C: 0.168 0.832 0.000
C: 0.832 0.168 0.000
S: 0.500 0.500 0.000
Cl: 0.340 0.660 0.500
Cl: 0.660 0.340 0.500

(21)
Tb6C2SCl3 | PBE | relaxed

Results
Mass density   7.4 g/cm3
ΔE_f (raw)   -1.29 eV per atom
Uncorrected energy   -71.43 eV/cell
Space group   C2/m

Unit cell a=6.530 b=6.530 c=7.132 alpha=98.77 beta=98.77 gamma=120.02
Atoms (fractional coordinates):
Tb: 0.080 0.436 0.808
Tb: 0.209 0.209 0.193
Tb: 0.436 0.080 0.808
Tb: 0.564 0.920 0.192
Tb: 0.791 0.791 0.807
Tb: 0.920 0.564 0.192
C: 0.166 0.834 0.000
C: 0.834 0.166 0.000
S: 0.500 0.500 0.000
Cl: 0.000 0.000 0.500
Cl: 0.333 0.667 0.500
Cl: 0.667 0.333 0.500

(22)
TcCSCl2 | PBE | relaxed

Results
Mass density   3.3 g/cm3
ΔE_f (raw)   1.34 eV per atom
Uncorrected energy   -20.73 eV/cell
Space group   P4/mmm

Unit cell a=4.853 b=4.853 c=4.513 alpha=90.00 beta=90.00 gamma=90.00
Atoms (fractional coordinates):
Tc: 0.000 0.000 0.000
C: 0.500 0.500 0.500
S: 0.000 0.000 0.500
Cl: 0.000 0.500 0.000
Cl: 0.500 0.000 0.000

(23)
TcCS2Cl | PBE | relaxed

Results
Mass density   5.2 g/cm3
ΔE_f (raw)   1.48 eV per atom
Uncorrected energy   -22.30 eV/cell
Space group   P4/mmm

Unit cell a=4.039 b=4.039 c=4.123 alpha=90.00 beta=90.00 gamma=90.00
Atoms (fractional coordinates):
Tc: 0.000 0.000 0.000
C: 0.500 0.500 0.500
S: 0.000 0.500 0.500
S: 0.500 0.000 0.500
Cl: 0.500 0.500 0.000

(24)
TcCSCl2 | PBE | relaxed

Results
Mass density   4.9 g/cm3
ΔE_f (raw)   1.64 eV per atom
Uncorrected energy   -19.21 eV/cell
Space group   P4/mmm

Unit cell a=4.194 b=4.194 c=4.092 alpha=90.00 beta=90.00 gamma=90.00
Atoms (fractional coordinates):
Tc: 0.000 0.000 0.000
C: 0.500 0.500 0.500
S: 0.500 0.500 0.000
Cl: 0.000 0.500 0.500
Cl: 0.500 0.000 0.500

(25)
TcCS2Cl | PBE | relaxed

Results
Mass density   3.4 g/cm3
ΔE_f (raw)   1.45 eV per atom
Uncorrected energy   -22.46 eV/cell
Space group   P4/mmm

Unit cell a=4.541 b=4.541 c=4.943 alpha=90.00 beta=90.00 gamma=90.00
Atoms (fractional coordinates):
Tc: 0.000 0.000 0.000
C: 0.500 0.500 0.500
S: 0.000 0.500 0.000
S: 0.500 0.000 0.000
Cl: 0.000 0.000 0.500